[1]
DFT (PBE) results for H12Ru3Rh5 after structural relaxation.

Computed properties:
- SG: No. 230

Cell: 9.3027 9.3027 9.3027 Å, 109.47 109.47 109.47°
With the nearest neighbours (Å) after each atom.
Fractional coordinates of all 80 atoms:
H (0.0597, 0.2272, 0.1442)  2 Rh 1.76-1.85, 2 Ru 1.94-1.95
H (0.0597, 0.3324, 0.9154)  2 Rh 1.76-1.85, 2 Ru 1.94-1.95
H (0.0830, 0.7272, 0.6676)  2 Rh 1.76-1.85, 2 Ru 1.94-1.95
H (0.0830, 0.8558, 0.4154)  2 Rh 1.76-1.85, 2 Ru 1.94-1.95
H (0.0846, 0.6442, 0.4170)  2 Rh 1.76-1.85, 2 Ru 1.94-1.95
H (0.0846, 0.9403, 0.6676)  2 Rh 1.76-1.85, 2 Ru 1.94-1.95
H (0.1442, 0.0597, 0.2272)  2 Rh 1.76-1.85, 2 Ru 1.94-1.95
H (0.1442, 0.5846, 0.9170)  2 Rh 1.76-1.85, 2 Ru 1.94-1.95
H (0.1676, 0.2272, 0.5830)  2 Rh 1.76-1.85, 2 Ru 1.94-1.95
H (0.1676, 0.4403, 0.5846)  2 Rh 1.76-1.85, 2 Ru 1.94-1.95
H (0.2272, 0.1442, 0.0597)  2 Rh 1.76-1.85, 2 Ru 1.94-1.95
H (0.2272, 0.5830, 0.1676)  2 Rh 1.76-1.85, 2 Ru 1.94-1.95
H (0.2728, 0.3324, 0.9170)  2 Rh 1.76-1.85, 2 Ru 1.94-1.95
H (0.2728, 0.4403, 0.3558)  2 Rh 1.76-1.85, 2 Ru 1.94-1.95
H (0.3324, 0.9154, 0.0597)  2 Rh 1.76-1.85, 2 Ru 1.94-1.95
H (0.3324, 0.9170, 0.2728)  2 Rh 1.76-1.85, 2 Ru 1.94-1.95
H (0.3558, 0.2728, 0.4403)  2 Rh 1.76-1.85, 2 Ru 1.94-1.95
H (0.3558, 0.5830, 0.9154)  2 Rh 1.76-1.85, 2 Ru 1.94-1.95
H (0.4154, 0.0830, 0.8558)  2 Rh 1.76-1.85, 2 Ru 1.94-1.95
H (0.4154, 0.8324, 0.5597)  2 Rh 1.76-1.85, 2 Ru 1.94-1.95
H (0.4170, 0.0846, 0.6442)  2 Rh 1.76-1.85, 2 Ru 1.94-1.95
H (0.4170, 0.8324, 0.7728)  2 Rh 1.76-1.85, 2 Ru 1.94-1.95
H (0.4403, 0.3558, 0.2728)  2 Rh 1.76-1.85, 2 Ru 1.94-1.95
H (0.4403, 0.5846, 0.1676)  2 Rh 1.76-1.85, 2 Ru 1.94-1.95
H (0.5597, 0.4154, 0.8324)  2 Rh 1.76-1.85, 2 Ru 1.94-1.95
H (0.5597, 0.6442, 0.7272)  2 Rh 1.76-1.85, 2 Ru 1.94-1.95
H (0.5830, 0.1676, 0.2272)  2 Rh 1.76-1.85, 2 Ru 1.94-1.95
H (0.5830, 0.9154, 0.3558)  2 Rh 1.76-1.85, 2 Ru 1.94-1.95
H (0.5846, 0.1676, 0.4403)  2 Rh 1.76-1.85, 2 Ru 1.94-1.95
H (0.5846, 0.9170, 0.1442)  2 Rh 1.76-1.85, 2 Ru 1.94-1.95
H (0.6442, 0.4170, 0.0846)  2 Rh 1.76-1.85, 2 Ru 1.94-1.95
H (0.6442, 0.7272, 0.5597)  2 Rh 1.76-1.85, 2 Ru 1.94-1.95
H (0.6676, 0.0830, 0.7272)  2 Rh 1.76-1.85, 2 Ru 1.94-1.95
H (0.6676, 0.0846, 0.9403)  2 Rh 1.76-1.85, 2 Ru 1.94-1.95
H (0.7272, 0.5597, 0.6442)  2 Rh 1.76-1.85, 2 Ru 1.94-1.95
H (0.7272, 0.6676, 0.0830)  2 Rh 1.76-1.85, 2 Ru 1.94-1.95
H (0.7728, 0.4170, 0.8324)  2 Rh 1.76-1.85, 2 Ru 1.94-1.95
H (0.7728, 0.8558, 0.9403)  2 Rh 1.76-1.85, 2 Ru 1.94-1.95
H (0.8324, 0.5597, 0.4154)  2 Rh 1.76-1.85, 2 Ru 1.94-1.95
H (0.8324, 0.7728, 0.4170)  2 Rh 1.76-1.85, 2 Ru 1.94-1.95
H (0.8558, 0.4154, 0.0830)  2 Rh 1.76-1.85, 2 Ru 1.94-1.95
H (0.8558, 0.9403, 0.7728)  2 Rh 1.76-1.85, 2 Ru 1.94-1.95
H (0.9154, 0.0597, 0.3324)  2 Rh 1.76-1.85, 2 Ru 1.94-1.95
H (0.9154, 0.3558, 0.5830)  2 Rh 1.76-1.85, 2 Ru 1.94-1.95
H (0.9170, 0.1442, 0.5846)  2 Rh 1.76-1.85, 2 Ru 1.94-1.95
H (0.9170, 0.2728, 0.3324)  2 Rh 1.76-1.85, 2 Ru 1.94-1.95
H (0.9403, 0.6676, 0.0846)  2 Rh 1.76-1.85, 2 Ru 1.94-1.95
H (0.9403, 0.7728, 0.8558)  2 Rh 1.76-1.85, 2 Ru 1.94-1.95
Ru (0.1250, 0.2500, 0.3750)  8 H 1.94-1.95
Ru (0.1250, 0.3750, 0.7500)  8 H 1.94-1.95
Ru (0.2500, 0.3750, 0.1250)  8 H 1.94-1.95
Ru (0.2500, 0.8750, 0.6250)  8 H 1.94-1.95
Ru (0.3750, 0.1250, 0.2500)  8 H 1.94-1.95
Ru (0.3750, 0.7500, 0.1250)  8 H 1.94-1.95
Ru (0.6250, 0.2500, 0.8750)  8 H 1.94-1.95
Ru (0.6250, 0.8750, 0.7500)  8 H 1.94-1.95
Ru (0.7500, 0.1250, 0.3750)  8 H 1.94-1.95
Ru (0.7500, 0.6250, 0.8750)  8 H 1.94-1.95
Ru (0.8750, 0.6250, 0.2500)  8 H 1.94-1.95
Ru (0.8750, 0.7500, 0.6250)  8 H 1.94-1.95
Rh (0.0000, 0.0000, 0.0000)  6 H 1.85
Rh (0.0000, 0.0000, 0.5000)  6 H 1.85
Rh (0.0000, 0.5000, 0.0000)  6 H 1.85
Rh (0.0000, 0.5000, 0.5000)  6 H 1.85
Rh (0.1250, 0.7500, 0.8750)  4 H 1.76
Rh (0.1250, 0.8750, 0.2500)  4 H 1.76
Rh (0.2500, 0.1250, 0.8750)  4 H 1.76
Rh (0.2500, 0.6250, 0.3750)  4 H 1.76
Rh (0.3750, 0.2500, 0.6250)  4 H 1.76
Rh (0.3750, 0.6250, 0.7500)  4 H 1.76
Rh (0.5000, 0.0000, 0.0000)  6 H 1.85
Rh (0.5000, 0.0000, 0.5000)  6 H 1.85
Rh (0.5000, 0.5000, 0.0000)  6 H 1.85
Rh (0.5000, 0.5000, 0.5000)  6 H 1.85
Rh (0.6250, 0.3750, 0.2500)  4 H 1.76
Rh (0.6250, 0.7500, 0.3750)  4 H 1.76
Rh (0.7500, 0.3750, 0.6250)  4 H 1.76
Rh (0.7500, 0.8750, 0.1250)  4 H 1.76
Rh (0.8750, 0.1250, 0.7500)  4 H 1.76
Rh (0.8750, 0.2500, 0.1250)  4 H 1.76


[2]
DFT (PBE) results for PrNd7Hg2 after structural relaxation.

Computed properties:
- Formation energy from the elements: 0.249 eV per atom
- SG: No. 65

Cell: 9.1465 9.1465 5.4689 Å, 90.00 90.00 119.04°
With the nearest neighbours (Å) after each atom.
Fractional coordinates of all 10 atoms:
Pr (0.0000, 0.0000, 0.0000)  10 Nd 3.70-3.74
Nd (0.0617, 0.3034, 0.5000)  2 Hg 3.16-3.37, 2 Nd 3.39-3.51
Nd (0.2346, 0.7654, 0.0000)  2 Hg 2.96
Nd (0.3034, 0.0617, 0.5000)  2 Hg 3.16-3.37, 2 Nd 3.39-3.51
Nd (0.5000, 0.5000, 0.5000)  2 Hg 3.06
Nd (0.6966, 0.9383, 0.5000)  2 Hg 3.16-3.37, 2 Nd 3.39-3.51
Nd (0.7654, 0.2346, 0.0000)  2 Hg 2.96
Nd (0.9383, 0.6966, 0.5000)  2 Hg 3.16-3.37, 2 Nd 3.39-3.51
Hg (0.3057, 0.6943, 0.5000)  5 Nd 2.96-3.16
Hg (0.6943, 0.3057, 0.5000)  5 Nd 2.96-3.16


[3]
DFT (PBE) results for LaP2Ru after structural relaxation.

Computed properties:
- Offset from the most stable computed form: 4.10 eV/f.u.
- Formation energy from the elements: 0.037 eV per atom
- SG: No. 216

Cell: 4.7081 4.7081 4.7081 Å, 60.00 60.00 60.00°
With the nearest neighbours (Å) after each atom.
Fractional coordinates of all 4 atoms:
La (0.0000, 0.0000, 0.0000)  4 Ru 2.88, 4 P 2.88
P (0.5000, 0.5000, 0.5000)  4 P 2.88, 4 Ru 2.88
P (0.7500, 0.7500, 0.7500)  4 P 2.88, 4 La 2.88
Ru (0.2500, 0.2500, 0.2500)  4 P 2.88, 4 La 2.88


[4]
DFT (PBE) results for NdTa2ReC4 after structural relaxation.

Computed properties:
- Formation energy from the elements: -0.201 eV per atom
- SG: No. 63

Cell: 5.9883 5.9883 11.2104 Å, 90.00 90.00 147.99°
With the nearest neighbours (Å) after each atom.
Fractional coordinates of all 16 atoms:
Nd (0.1023, 0.8977, 0.7500)  6 C 2.55-2.75
Nd (0.8977, 0.1023, 0.2500)  6 C 2.55-2.75
Ta (0.3724, 0.6276, 0.5371)  3 C 2.08-2.25
Ta (0.3724, 0.6276, 0.9629)  3 C 2.08-2.25
Ta (0.6276, 0.3724, 0.0371)  3 C 2.08-2.25
Ta (0.6276, 0.3724, 0.4629)  3 C 2.08-2.25
Re (0.1620, 0.8380, 0.2500)  4 C 1.95-1.98
Re (0.8380, 0.1620, 0.7500)  4 C 1.95-1.98
C (0.0000, 0.0000, 0.0000)  4 Ta 2.25
C (0.0000, 0.0000, 0.5000)  4 Ta 2.25
C (0.2632, 0.7368, 0.1104)  1 Re 1.95, 1 Ta 2.08
C (0.2632, 0.7368, 0.3896)  1 Re 1.95, 1 Ta 2.08
C (0.4337, 0.5663, 0.7500)  2 Re 1.98
C (0.5663, 0.4337, 0.2500)  2 Re 1.98
C (0.7368, 0.2632, 0.6104)  1 Re 1.95, 1 Ta 2.08
C (0.7368, 0.2632, 0.8896)  1 Re 1.95, 1 Ta 2.08


[5]
DFT (PBE) results for MnFe2Co2 after structural relaxation.

Computed properties:
- Offset from the most stable computed form: 0.26 eV/f.u.
- Formation energy from the elements: 0.393 eV per atom
- SG: No. 127

Cell: 6.6190 6.6190 2.4640 Å, 90.00 90.00 90.00°
With the nearest neighbours (Å) after each atom.
Fractional coordinates of all 10 atoms:
Mn (0.0000, 0.0000, 0.0000)  2 Mn 2.46, 4 Fe 2.63, 8 Co 2.73
Mn (0.5000, 0.5000, 0.0000)  2 Mn 2.46, 4 Fe 2.63, 8 Co 2.73
Fe (0.1214, 0.3786, 0.0000)  6 Co 2.26-2.35, 3 Fe 2.27-2.46
Fe (0.3786, 0.8786, 0.0000)  6 Co 2.26-2.35, 3 Fe 2.27-2.46
Fe (0.6214, 0.1214, 0.0000)  6 Co 2.26-2.35, 3 Fe 2.27-2.46
Fe (0.8786, 0.6214, 0.0000)  6 Co 2.26-2.35, 3 Fe 2.27-2.46
Co (0.1758, 0.6758, 0.5000)  6 Fe 2.26-2.35, 2 Co 2.46
Co (0.3242, 0.1758, 0.5000)  6 Fe 2.26-2.35, 2 Co 2.46
Co (0.6758, 0.8242, 0.5000)  6 Fe 2.26-2.35, 2 Co 2.46
Co (0.8242, 0.3242, 0.5000)  6 Fe 2.26-2.35, 2 Co 2.46


[6]
DFT (PBE) results for TbTlBi after structural relaxation.

Computed properties:
- Offset from the most stable computed form: 0.00 eV/f.u.
- Formation energy from the elements: -0.296 eV per atom
- SG: No. 139

Cell: 8.4934 8.4934 8.4934 Å, 146.88 146.88 47.53°
With the nearest neighbours (Å) after each atom.
Fractional coordinates of all 6 atoms:
Tb (0.1408, 0.1408, 0.0000)  5 Tl 3.08-3.44, 4 Bi 3.26
Tb (0.8592, 0.8592, 0.0000)  5 Tl 3.08-3.44, 4 Bi 3.26
Tl (0.3388, 0.3388, 0.0000)  5 Tb 3.08-3.44
Tl (0.6612, 0.6612, 0.0000)  5 Tb 3.08-3.44
Bi (0.0000, 0.5000, 0.5000)  4 Tb 3.26, 4 Bi 3.42, 4 Tl 3.48
Bi (0.5000, 0.0000, 0.5000)  4 Tb 3.26, 4 Bi 3.42, 4 Tl 3.48


[7]
DFT (PBE) results for TbPrV after structural relaxation.

Computed properties:
- Formation energy from the elements: 0.464 eV per atom
- SG: No. 129

Cell: 4.9489 4.9489 7.3748 Å, 90.00 90.00 90.00°
With the nearest neighbours (Å) after each atom.
Fractional coordinates of all 6 atoms:
Tb (0.2500, 0.2500, 0.2134)  4 V 2.93
Tb (0.7500, 0.7500, 0.7866)  4 V 2.93
Pr (0.2500, 0.2500, 0.7190)  4 V 3.23, 4 Tb 3.53
Pr (0.7500, 0.7500, 0.2810)  4 V 3.23, 4 Tb 3.53
V (0.2500, 0.7500, 0.0000)  4 Tb 2.93, 4 Pr 3.23
V (0.7500, 0.2500, 0.0000)  4 Tb 2.93, 4 Pr 3.23


[8]
DFT (PBE) results for LaSnSe after structural relaxation.

Computed properties:
- Formation energy (no corrections): -1.35 eV/atom
- SG: No. 139

Cell: 10.0543 10.0543 10.0543 Å, 155.69 155.69 34.65°
With the nearest neighbours (Å) after each atom.
Fractional coordinates of all 6 atoms:
La (0.1532, 0.1532, 0.0000)  5 Se 3.06-3.08
La (0.8468, 0.8468, 0.0000)  5 Se 3.06-3.08
Sn (0.0000, 0.5000, 0.5000)  4 Sn 2.99
Sn (0.5000, 0.0000, 0.5000)  4 Sn 2.99
Se (0.3139, 0.3139, 0.0000)  5 La 3.06-3.08
Se (0.6861, 0.6861, 0.0000)  5 La 3.06-3.08


[9]
DFT (PBE) results for Zr4OsO after structural relaxation.

Computed properties:
- Formation energy (no corrections): -0.91 eV/atom
- Offset from the most stable computed form: 0.00 eV/f.u.
- SG: No. 14

Cell: 5.8817 6.0900 6.4115 Å, 90.00 99.35 90.00°
With the nearest neighbours (Å) after each atom.
Fractional coordinates of all 12 atoms:
Zr (0.1174, 0.1533, 0.1811)  2 O 2.45
Zr (0.1174, 0.3467, 0.6811)  2 O 2.45
Zr (0.3368, 0.6366, 0.1182)  1 O 2.17
Zr (0.3368, 0.8634, 0.6182)  1 O 2.17
Zr (0.6632, 0.1366, 0.3818)  1 O 2.17
Zr (0.6632, 0.3634, 0.8818)  1 O 2.17
Zr (0.8826, 0.6533, 0.3189)  2 O 2.45
Zr (0.8826, 0.8467, 0.8189)  2 O 2.45
Os (0.5000, 0.0000, 0.0000)  6 Zr 2.57-2.85
Os (0.5000, 0.5000, 0.5000)  6 Zr 2.57-2.85
O (0.0000, 0.0000, 0.5000)  2 Zr 2.17
O (0.0000, 0.5000, 0.0000)  2 Zr 2.17


[10]
DFT (PBE) results for Hf8CoPt2 after structural relaxation.

Computed properties:
- Formation energy from the elements: -0.400 eV per atom
- SG: No. 12

Cell: 8.6732 8.6732 5.9597 Å, 107.92 107.92 31.30°
With the nearest neighbours (Å) after each atom.
Fractional coordinates of all 11 atoms:
Hf (0.0161, 0.0161, 0.2696)  1 Pt 2.61, 2 Co 2.77
Hf (0.2073, 0.2073, 0.8452)  1 Pt 2.64
Hf (0.3359, 0.3359, 0.4907)  3 Pt 2.71-2.84, 1 Co 2.72, 2 Hf 3.01
Hf (0.4103, 0.4103, 0.0341)  1 Co 2.70, 2 Pt 2.92, 2 Hf 3.00
Hf (0.5897, 0.5897, 0.9659)  1 Co 2.70, 2 Pt 2.92, 2 Hf 3.00
Hf (0.6641, 0.6641, 0.5093)  3 Pt 2.71-2.84, 1 Co 2.72, 2 Hf 3.01
Hf (0.7927, 0.7927, 0.1548)  1 Pt 2.64
Hf (0.9839, 0.9839, 0.7304)  1 Pt 2.61, 2 Co 2.77
Co (0.5000, 0.5000, 0.5000)  8 Hf 2.70-2.77
Pt (0.1690, 0.1690, 0.2425)  7 Hf 2.61-2.92
Pt (0.8310, 0.8310, 0.7575)  7 Hf 2.61-2.92


[11]
DFT (PBE) results for LaTiMo2 after structural relaxation.

Computed properties:
- Offset from the most stable computed form: 1.60 eV/f.u.
- Formation energy from the elements: 0.822 eV per atom
- SG: No. 122

Cell: 6.0706 6.0706 6.0706 Å, 102.30 102.30 125.01°
With the nearest neighbours (Å) after each atom.
Fractional coordinates of all 8 atoms:
La (0.0000, 0.0000, 0.0000)  2 Ti 2.80, 4 Mo 2.95
La (0.7500, 0.2500, 0.5000)  2 Ti 2.80, 4 Mo 2.95
Ti (0.2500, 0.7500, 0.5000)  4 Mo 2.63, 2 La 2.80
Ti (0.5000, 0.5000, 0.0000)  4 Mo 2.63, 2 La 2.80
Mo (0.1558, 0.1250, 0.5308)  2 Ti 2.63, 2 Mo 2.84
Mo (0.3750, 0.8442, 0.9692)  2 Ti 2.63, 2 Mo 2.84
Mo (0.5942, 0.6250, 0.4692)  2 Ti 2.63, 2 Mo 2.84
Mo (0.8750, 0.4058, 0.0308)  2 Ti 2.63, 2 Mo 2.84


[12]
DFT (PBE) results for KTeIr2 after structural relaxation.

Computed properties:
- Formation energy (no corrections): 0.26 eV/atom
- SG: No. 8

Cell: 5.2553 5.2553 7.0094 Å, 111.00 111.00 34.38°
With the nearest neighbours (Å) after each atom.
Fractional coordinates of all 4 atoms:
K (0.0000, 0.0000, 0.0000)  2 K 3.11, 4 Ir 3.39-3.40
Te (0.8294, 0.8294, 0.3606)  4 Ir 2.62
Ir (0.2462, 0.2462, 0.5954)  2 Ir 2.61, 2 Te 2.62
Ir (0.5369, 0.5369, 0.5929)  2 Ir 2.61, 2 Te 2.62


| no. | electronic total energy (eV/cell) |
| --- | --- |
| 1 | -402.26 |
| 2 | -36.27 |
| 3 | -24.87 |
| 4 | -158.86 |
| 5 | -76.69 |
| 6 | -23.53 |
| 7 | -34.27 |
| 8 | -32.90 |
| 9 | -111.63 |
| 10 | -103.22 |
| 11 | -62.39 |
| 12 | -20.92 |